1.
DFT (PBE) results for CdMo2Pt after structural relaxation.

extended XYZ file:
```
4
Lattice="2.7687 0.0000 0.0000 0.0000 2.7687 0.0000 0.0000 0.0000 8.7433" Properties=species:S:1:pos:R:3 pbc="T T T"
Cd 0.0000 0.0000 0.0000
Mo 0.0000 0.0000 4.5834
Mo 1.3844 1.3844 2.3561
Pt 1.3844 1.3844 6.4882
```

Results
Volume in Å³ per atom: 16.76
Space-group type: P4mm, No. 99
DFT total energy in eV/cell: -28.45
Energy relative to the elements in eV/atom: 0.042
Total magnetic moment in μB/f.u.: 0.00


2.
DFT (PBE) results for Cd2MoPt after structural relaxation.

extended XYZ file:
```
4
Lattice="-2.1160 2.1160 4.0752 2.1160 -2.1160 4.0752 2.1160 2.1160 -4.0752" Properties=species:S:1:pos:R:3 pbc="T T T"
Cd 2.1160 0.0000 2.0376
Cd 0.0000 2.1160 2.0376
Mo 0.0000 0.0000 0.0000
Pt 0.0000 0.0000 4.0752
```

Results
Volume in Å³ per atom: 18.25
Space-group type: I4/mmm, No. 139
DFT total energy in eV/cell: -17.50
Energy relative to the elements in eV/atom: 0.300
Distance to the lowest polymorph of the same formula in meV per atom: 336
Total magnetic moment in μB/f.u.: 2.73


3.
DFT (PBE) results for CdMoPt2 after structural relaxation.

extended XYZ file:
```
4
Lattice="2.8259 0.0000 0.0000 0.0000 2.8259 0.0000 0.0000 0.0000 8.3163" Properties=species:S:1:pos:R:3 pbc="T T T"
Cd 0.0000 0.0000 0.0000
Mo 1.4129 1.4129 2.2810
Pt 0.0000 0.0000 4.1353
Pt 1.4129 1.4129 6.2106
```

Results
Volume in Å³ per atom: 16.60
Space-group type: P4mm, No. 99
DFT total energy in eV/cell: -24.06
Energy relative to the elements in eV/atom: -0.059
Total magnetic moment in μB/f.u.: 0.00


4.
DFT (PBE) results for CdMoPt after structural relaxation.

extended XYZ file:
```
3
Lattice="2.8639 0.0000 0.0000 -1.4320 2.4802 0.0000 0.0000 0.0000 7.2088" Properties=species:S:1:pos:R:3 pbc="T T T"
Cd 0.0000 0.0000 0.0000
Mo 0.0000 1.6535 2.5482
Pt 1.4320 0.8267 4.7025
```

Results
Volume in Å³ per atom: 17.07
Space-group type: P3m1, No. 156
DFT total energy in eV/cell: -17.63
Energy relative to the elements in eV/atom: 0.053
Distance to the lowest polymorph of the same formula in meV per atom: 221
Total magnetic moment in μB/f.u.: 0.00


5.
DFT (PBE) results for CdMoPt6 after structural relaxation.

extended XYZ file:
```
8
Lattice="4.0016 0.0000 0.0000 0.0000 4.0016 0.0000 0.0000 0.0000 8.0024" Properties=species:S:1:pos:R:3 pbc="T T T"
Cd 0.0000 0.0000 0.0000
Mo 0.0000 0.0000 4.0012
Pt 0.0000 2.0008 2.1033
Pt 0.0000 2.0008 5.8992
Pt 2.0008 0.0000 2.1033
Pt 2.0008 0.0000 5.8992
Pt 2.0008 2.0008 0.0000
Pt 2.0008 2.0008 4.0012
```

Results
Volume in Å³ per atom: 16.02
Space-group type: P4/mmm, No. 123
DFT total energy in eV/cell: -50.24
Energy relative to the elements in eV/atom: -0.281
Total magnetic moment in μB/f.u.: 0.41


6.
DFT (PBE) results for Cd2MoPt after structural relaxation.

extended XYZ file:
```
4
Lattice="-2.1591 2.1591 3.8453 2.1591 -2.1591 3.8453 2.1591 2.1591 -3.8453" Properties=species:S:1:pos:R:3 pbc="T T T"
Cd 0.0000 0.0000 0.0000
Cd 0.0000 2.1591 1.9227
Mo 2.1591 0.0000 1.9227
Pt 0.0000 0.0000 3.8453
```

Results
Volume in Å³ per atom: 17.93
Space-group type: I-4m2, No. 119
DFT total energy in eV/cell: -17.74
Energy relative to the elements in eV/atom: 0.241
Distance to the lowest polymorph of the same formula in meV per atom: 277
Total magnetic moment in μB/f.u.: 1.56